Here is crystalline CaNi2As at its relaxed geometry from Alexandria via LeMat-Bulk. Energies are from PBEsol.

Cell lengths 3.164, 3.164, 6.294 Å; angles 90.00, 90.00, 90.00 degrees
Fractional coordinates of all 4 atoms:
Ni 0.000 0.000 0.057
Ni 0.500 0.500 0.258
As 0.000 0.000 0.419
Ca 0.500 0.500 0.765

Values from the calculation:
formation energy: -0.193 eV per atom
total magnetization: 0.0 Bohr magnetons per cell
space-group type: P4mm (99)

***

Here is crystalline CaNiAs2 at its relaxed geometry from Alexandria via LeMat-Bulk. Energies are from PBEsol.

Cell lengths 3.824, 3.821, 6.222 Å; angles 107.93, 90.00, 120.03 degrees
Fractional coordinates of all 4 atoms:
Ni 0.500 0.000 0.000
As 0.776 0.552 0.828
As 0.224 0.448 0.172
Ca 0.000 0.000 0.500

Values from the calculation:
formation energy: -0.598 eV per atom
total magnetization: 0.0 Bohr magnetons per cell
space-group type: C2/m (12)

***

Here is crystalline CaNi2As at its relaxed geometry from Alexandria via LeMat-Bulk. Energies are from PBEsol.

Cell lengths 2.885, 4.925, 5.116 Å; angles 118.35, 105.71, 91.33 degrees
Fractional coordinates of all 4 atoms:
Ni 0.500 0.500 0.500
Ni 0.000 0.000 0.500
As 0.000 0.500 0.000
Ca 0.500 0.000 0.000

Values from the calculation:
formation energy: 0.063 eV per atom
total magnetization: 0.0 Bohr magnetons per cell
space-group type: C2/m (12)

***

Here is crystalline Ca2Ni12As7 at its relaxed geometry from Alexandria via LeMat-Bulk. Energies are from PBEsol.

Cell lengths 3.776, 9.270, 9.270 Å; angles 120.00, 90.00, 90.00 degrees
Fractional coordinates of all 21 atoms:
Ca 0.000 0.000 0.000
Ca 0.500 0.333 0.667
Ni 0.000 0.613 0.896
Ni 0.000 0.104 0.717
Ni 0.000 0.283 0.387
Ni 0.000 0.387 0.181
Ni 0.000 0.819 0.206
Ni 0.000 0.794 0.613
Ni 0.500 0.244 0.958
Ni 0.500 0.042 0.286
Ni 0.500 0.714 0.756
Ni 0.500 0.572 0.127
Ni 0.500 0.873 0.446
Ni 0.500 0.554 0.428
As 0.000 0.381 0.930
As 0.000 0.070 0.452
As 0.000 0.548 0.619
As 0.500 0.261 0.226
As 0.500 0.774 0.035
As 0.500 0.965 0.739
As 0.000 0.667 0.333

Values from the calculation:
formation energy: -0.515 eV per atom
total magnetization: 0.0 Bohr magnetons per cell
space-group type: P-6 (174)

***

Here is crystalline CaNi2As at its relaxed geometry from Alexandria via LeMat-Bulk. Energies are from PBEsol.

Cell lengths 3.835, 3.835, 4.879 Å; angles 113.14, 113.14, 90.00 degrees
Fractional coordinates of all 4 atoms:
Ni 0.000 0.000 0.000
Ni 0.750 0.250 0.500
As 0.500 0.500 0.000
Ca 0.250 0.750 0.500

Values from the calculation:
formation energy: -0.109 eV per atom
total magnetization: 0.0 Bohr magnetons per cell
space-group type: I-4m2 (119)

***

Here is crystalline Ca3NiAs at its relaxed geometry from Alexandria via LeMat-Bulk. Energies are from PBEsol.

Cell lengths 5.435, 5.435, 5.435 Å; angles 90.00, 90.00, 90.00 degrees
Fractional coordinates of all 5 atoms:
Ni 0.500 0.500 0.500
As 0.000 0.000 0.000
Ca 0.000 0.500 0.000
Ca 0.000 0.000 0.500
Ca 0.500 0.000 0.000

Values from the calculation:
formation energy: -0.027 eV per atom
total magnetization: 0.1 Bohr magnetons per cell
space-group type: Pm-3m (221)

***

Number 6 is which compound? Ca3NiAs